#A
VASP calculation (GGA-PBE) on a geometry-optimized CsLiI3 structure.

Cell and atoms, written as POSCAR:
```
CsLiI3
1.0
-2.671 4.991 -2.759
-0.762 -8.012 -6.569
-9.571 -4.313 1.464
Cs I Li
2 6 2
direct
0.197 0.394 0.729
0.803 0.606 0.271
0.386 0.773 0.731
0.624 0.247 0.588
0.376 0.753 0.412
0.614 0.227 0.269
0.612 0.224 0.939
0.388 0.776 0.061
0.496 0.993 0.188
0.504 0.007 0.812
```

Output
**Crystal system**: monoclinic


#B
VASP calculation (GGA-PBE) on a geometry-optimized CsLiI3 structure.

Cell and atoms, written as POSCAR:
```
CsLiI3
1.0
-0.284 -7.022 -1.421
4.814 -1.240 5.167
-5.306 -0.750 4.764
I Li Cs
3 1 1
direct
0.500 0.000 0.000
0.000 0.500 0.000
0.000 0.000 0.500
0.500 0.500 0.500
0.000 0.000 0.000
```

Output
**Crystal system**: cubic


#C
VASP calculation (GGA-PBE) on a geometry-optimized CsLiI3 structure.

Cell and atoms, written as POSCAR:
```
CsLiI3
1.0
-0.702 2.750 5.140
-3.538 -4.315 1.825
4.632 -2.879 2.173
I Cs Li
3 1 1
direct
0.500 0.000 0.000
0.000 0.000 0.500
0.000 0.500 0.000
0.500 0.500 0.500
0.000 0.000 0.000
```

Output
**Crystal system**: cubic


Stability summary: most stable #C, least stable #B.


#A
VASP calculation (GGA-PBE) on a geometry-optimized Cs2LiMoI6 structure.

Cell and atoms, written as POSCAR:
```
Cs2LiMoI6
1.0
-7.770 2.960 -0.712
-5.002 -2.822 -6.054
-8.856 -9.985 6.220
I Cs Mo Li
12 4 2 2
direct
0.801 0.801 0.119
0.858 0.380 0.381
0.142 0.620 0.619
0.380 0.858 0.381
0.620 0.142 0.619
0.199 0.721 0.881
0.721 0.199 0.881
0.199 0.199 0.881
0.279 0.801 0.119
0.620 0.620 0.619
0.380 0.380 0.381
0.801 0.279 0.119
0.297 0.297 0.109
0.877 0.877 0.368
0.703 0.703 0.891
0.123 0.123 0.632
0.000 0.000 0.000
0.500 0.500 0.500
0.420 0.420 0.741
0.580 0.580 0.259
```

Output
**Crystal system**: trigonal


#B
VASP calculation (GGA-PBE) on a geometry-optimized Cs2LiMoI6 structure.

Cell and atoms, written as POSCAR:
```
Cs2LiMoI6
1.0
-5.016 6.278 -2.140
-2.804 0.606 -7.805
-8.015 -1.464 -1.664
I Cs Mo Li
6 2 1 1
direct
0.759 0.241 0.759
0.759 0.759 0.241
0.241 0.759 0.759
0.241 0.241 0.759
0.759 0.241 0.241
0.241 0.759 0.241
0.750 0.750 0.750
0.250 0.250 0.250
0.000 0.000 0.000
0.500 0.500 0.500
```

Output
**Crystal system**: cubic


Stability summary: most stable #A, least stable #B.


#A
VASP calculation (GGA-PBE) on a geometry-optimized Cs2LiNdI6 structure.

Cell and atoms, written as POSCAR:
```
Cs2LiNdI6
1.0
8.656 0.000 0.000
4.328 7.496 0.000
4.328 2.499 7.067
Cs I Li Nd
2 6 1 1
direct
0.750 0.750 0.750
0.250 0.250 0.250
0.254 0.746 0.746
0.254 0.254 0.746
0.746 0.254 0.254
0.746 0.746 0.254
0.254 0.746 0.254
0.746 0.254 0.746
0.500 0.500 0.500
0.000 0.000 0.000
```

Output
**Crystal system**: cubic


#B
VASP calculation (GGA-PBE) on a geometry-optimized Cs2LiNdI6 structure.

Cell and atoms, written as POSCAR:
```
Cs2LiNdI6
1.0
-4.110 5.585 -5.128
-7.565 3.340 2.448
2.996 13.901 5.486
Cs I Li Nd
4 12 2 2
direct
0.123 0.123 0.631
0.292 0.292 0.125
0.708 0.708 0.875
0.877 0.877 0.369
0.203 0.203 0.879
0.624 0.128 0.624
0.128 0.624 0.624
0.715 0.203 0.879
0.797 0.797 0.121
0.376 0.872 0.376
0.285 0.797 0.121
0.797 0.285 0.121
0.203 0.715 0.879
0.376 0.376 0.376
0.872 0.376 0.376
0.624 0.624 0.624
0.000 0.000 0.000
0.500 0.500 0.500
0.585 0.585 0.245
0.415 0.415 0.755
```

Output
**Crystal system**: trigonal


Stability summary: most stable #B, least stable #A.


#A
VASP calculation (GGA-PBE) on a geometry-optimized CsLiI2O structure.

Cell and atoms, written as POSCAR:
```
CsLiI2O
1.0
6.619 0.000 0.000
0.000 6.619 0.000
0.000 0.000 3.849
I O Li Cs
2 1 1 1
direct
0.000 0.500 0.000
0.500 0.000 0.000
0.000 0.000 0.500
0.000 0.000 0.000
0.500 0.500 0.500
```

Output
**Crystal system**: tetragonal


#B
VASP calculation (GGA-PBE) on a geometry-optimized CsLiI2O structure.

Cell and atoms, written as POSCAR:
```
CsLiI2O
1.0
7.182 0.000 0.000
0.000 7.182 0.000
0.000 0.000 4.423
O I Li Cs
1 2 1 1
direct
0.000 0.000 0.500
0.500 0.000 0.000
0.000 0.500 0.000
0.500 0.500 0.500
0.000 0.000 0.000
```

Output
**Crystal system**: tetragonal


Stability summary: most stable #A, least stable #B.


#A
VASP calculation (GGA-PBE) on a geometry-optimized Cs2LiPtI6 structure.

Cell and atoms, written as POSCAR:
```
Cs2LiPtI6
1.0
-0.002 8.189 -0.884
-7.992 0.212 1.982
-2.593 4.805 6.145
I Cs Pt Li
6 2 1 1
direct
0.762 0.238 0.000
0.240 0.240 0.520
0.238 0.238 0.000
0.760 0.760 0.480
0.238 0.762 0.000
0.762 0.762 0.000
0.750 0.250 0.500
0.250 0.750 0.500
0.000 0.000 0.000
0.500 0.500 0.000
```

Output
**Crystal system**: tetragonal


#B
VASP calculation (GGA-PBE) on a geometry-optimized Cs2LiPtI6 structure.

Cell and atoms, written as POSCAR:
```
Cs2LiPtI6
1.0
8.155 0.000 0.000
4.078 7.063 0.000
4.078 2.354 14.035
I Cs Li Pt
12 4 2 2
direct
0.376 0.376 0.386
0.199 0.199 0.886
0.801 0.283 0.114
0.862 0.376 0.386
0.283 0.801 0.114
0.376 0.862 0.386
0.624 0.138 0.614
0.199 0.717 0.886
0.138 0.624 0.614
0.717 0.199 0.886
0.801 0.801 0.114
0.624 0.624 0.614
0.703 0.703 0.890
0.121 0.121 0.638
0.297 0.297 0.110
0.879 0.879 0.362
0.577 0.577 0.269
0.423 0.423 0.731
0.500 0.500 0.500
0.000 0.000 0.000
```

Output
**Crystal system**: trigonal


Stability summary: most stable #B, least stable #A.


#A
VASP calculation (GGA-PBE) on a geometry-optimized CsLiRuPtI structure.

Cell and atoms, written as POSCAR:
```
CsLiRuPtI
1.0
8.387 0.000 -0.014
0.000 4.168 0.000
-0.461 0.000 7.769
Ru Cs Li I Pt
2 2 2 2 2
direct
0.949 0.500 0.243
0.949 0.000 0.743
0.399 0.500 0.297
0.399 0.000 0.797
0.089 0.500 0.603
0.089 0.000 0.103
0.744 0.500 0.639
0.744 0.000 0.139
0.045 0.500 0.931
0.045 0.000 0.431
```

Output
**Crystal system**: monoclinic


#B
VASP calculation (GGA-PBE) on a geometry-optimized CsLiRuPtI structure.

Cell and atoms, written as POSCAR:
```
CsLiRuPtI
1.0
4.211 0.007 -0.053
2.099 3.855 -0.059
0.113 0.232 8.916
Li Pt Cs I Ru
1 1 1 1 1
direct
0.408 0.788 0.091
0.756 0.092 0.901
0.414 0.776 0.593
0.084 0.435 0.257
0.079 0.445 0.932
```

Output
**Crystal system**: triclinic


Stability summary: most stable #B, least stable #A.


#A
VASP calculation (GGA-PBE) on a geometry-optimized CsLiRuPtI structure.

Cell and atoms, written as POSCAR:
```
CsLiRuPtI
1.0
4.111 0.000 0.000
1.735 3.732 0.000
1.683 0.971 9.526
I Li Cs Ru Pt
1 1 1 1 1
direct
0.674 0.183 0.283
0.072 0.577 0.116
0.225 0.745 0.585
0.453 0.981 0.896
0.814 0.342 0.896
```

Output
**Crystal system**: triclinic


#B
VASP calculation (GGA-PBE) on a geometry-optimized CsLiRuPtI structure.

Cell and atoms, written as POSCAR:
```
CsLiRuPtI
1.0
-1.646 -2.922 -2.048
3.342 -2.798 1.305
-4.363 -2.147 6.571
Pt Ru Li Cs I
1 1 1 1 1
direct
0.500 0.500 0.854
0.000 0.500 0.038
0.500 0.000 0.016
0.000 0.000 0.598
0.500 0.500 0.269
```

Output
**Crystal system**: orthorhombic


#C
VASP calculation (GGA-PBE) on a geometry-optimized CsLiRuPtI structure.

Cell and atoms, written as POSCAR:
```
CsLiRuPtI
1.0
-7.440 -1.608 -5.538
-2.083 -1.894 3.349
-2.617 6.379 1.980
Li Ru I Cs Pt
2 2 2 2 2
direct
0.867 0.000 0.099
0.867 0.500 0.599
0.079 0.000 0.440
0.079 0.500 0.940
0.738 0.500 0.937
0.738 0.000 0.437
0.410 0.500 0.270
0.410 0.000 0.770
0.131 0.000 0.095
0.131 0.500 0.595
```

Output
**Crystal system**: monoclinic


Stability summary: most stable #C, least stable #B.


#A
VASP calculation (GGA-PBE) on a geometry-optimized CsLiRuPtI structure.

Cell and atoms, written as POSCAR:
```
CsLiRuPtI
1.0
-4.949 -0.146 -3.567
-0.203 -3.762 0.436
-1.925 0.832 6.287
Pt Cs Li Ru I
1 1 1 1 1
direct
0.557 0.000 0.526
0.979 0.500 0.383
0.546 0.500 0.797
0.902 0.000 0.841
0.355 0.000 0.075
```

Output
**Crystal system**: monoclinic


#B
VASP calculation (GGA-PBE) on a geometry-optimized CsLiRuPtI structure.

Cell and atoms, written as POSCAR:
```
CsLiRuPtI
1.0
4.077 0.000 0.000
-2.039 3.531 0.000
0.000 0.000 29.284
Li Cs Pt Ru I
3 3 3 3 3
direct
0.000 0.000 0.713
0.333 0.667 0.379
0.667 0.333 0.046
0.333 0.667 0.816
0.667 0.333 0.483
0.000 0.000 0.150
0.333 0.667 0.002
0.667 0.333 0.669
0.000 0.000 0.335
0.667 0.333 0.960
0.000 0.000 0.627
0.333 0.667 0.294
0.000 0.000 0.917
0.333 0.667 0.583
0.667 0.333 0.250
```

Output
**Crystal system**: trigonal


Stability summary: most stable #B, least stable #A.